# 1
The following is a DFT calculation (meta-GGA SCAN) of BeTc2Pb at its PBEsol-relaxed geometry.

Crystal system: tetragonal
Energy, eV per formula unit: -147.869
Formation energy, eV per formula unit: 2.4
Relative energy among the computed polymorphs, meV/atom: 221
DOS at the Fermi energy, states/eV/f.u.: 3.1
Symmetry: No. 119

Cell lengths 4.0582, 4.6192, 4.0582 Å; angles 116.06, 90.00, 116.06 degrees
Closest atoms and distances in Å follow each position.
Fractional coordinates of all 4 atoms:
Tc: 0.7500 0.5000 0.2500  4 Tc 2.72, 4 Be 2.72, 4 Pb 2.87
Tc: 0.0000 0.0000 0.0000  4 Pb 2.72, 4 Tc 2.72, 4 Be 2.87
Be: 0.5000 0.0000 0.5000  8 Tc 2.72-2.87, 4 Pb 2.72
Pb: 0.2500 0.5000 0.7500  8 Tc 2.72-2.87, 4 Be 2.72

# 2
The following is a DFT calculation (meta-GGA SCAN) of BeTc2Pb at its PBEsol-relaxed geometry.

Crystal system: orthorhombic
Energy, eV per formula unit: -147.447
Formation energy, eV per formula unit: 2.8
Relative energy among the computed polymorphs, meV/atom: 327
DOS at the Fermi energy, states/eV/f.u.: 3.5
Symmetry: No. 47

Cell lengths 3.1468, 4.3339, 4.4466 Å; angles 90.00, 90.00, 90.00 degrees
Closest atoms and distances in Å follow each position.
Fractional coordinates of all 4 atoms:
Pb: 0.0000 0.5000 0.5000  4 Tc 2.68, 4 Be 2.72
Be: 0.5000 0.5000 0.0000  4 Tc 2.68, 4 Pb 2.72
Tc: 0.0000 0.0000 0.0000  4 Be 2.68, 4 Tc 2.72
Tc: 0.5000 0.0000 0.5000  4 Pb 2.68, 4 Tc 2.72

# 3
The following is a DFT calculation (meta-GGA SCAN) of BeTe2Pb at its PBEsol-relaxed geometry.

Crystal system: monoclinic
Energy, eV per formula unit: -154.428
Relative energy among the computed polymorphs, meV/atom: 125
DOS at the Fermi energy, states/eV/f.u.: 1.3
Symmetry: No. 10

Cell lengths 3.6685, 4.1946, 7.1053 Å; angles 104.30, 90.00, 90.00 degrees
Closest atoms and distances in Å follow each position.
Fractional coordinates of all 4 atoms:
Te: 0.0000 0.1112 0.2840  2 Be 2.51
Te: 0.0000 0.8888 0.7160  2 Be 2.51
Pb: 0.5000 0.5000 0.0000  8 Te 3.38-3.42, 2 Be 3.65, 2 Pb 3.67
Be: 0.5000 0.0000 0.5000  4 Te 2.51

Question: Number 2 is which compound?
Answer: BeTc2Pb